1.
The following is a PBE calculation of an optimized crystal structure of Pm4PRhCl2, from Alexandria via LeMat-Bulk.

E_form (uncorrected) (eV/f.u.): -10.59
Energy (eV/atom): -5.76

```
data_Pm4PRhCl2
_chemical_formula_sum 'Pm4 P1 Rh1 Cl2'
_cell_length_a 7.328
_cell_length_b 4.008
_cell_length_c 7.402
_cell_angle_alpha 90.00
_cell_angle_beta 107.36
_cell_angle_gamma 90.00
_symmetry_space_group_name_H-M 'P 1 2/m 1'
_symmetry_Int_Tables_number 10
loop_
_symmetry_equiv_pos_as_xyz
'x,y,z'
'-x,-y,-z'
'-x,y,-z'
'x,-y,z'
loop_
_atom_site_label
_atom_site_fract_x
_atom_site_fract_y
_atom_site_fract_z
Pm1 0.212 0.000 0.229
Pm2 0.217 0.500 0.738
P1 0.000 0.000 0.500
Rh1 0.000 0.500 0.000
Cl1 0.500 0.000 0.000
Cl2 0.500 0.500 0.500
```

---

2.
The following is a PBE calculation of an optimized crystal structure of TlPWCl2, from Alexandria via LeMat-Bulk.

E_form (uncorrected) (eV/f.u.): 6.89
Energy (eV/atom): -3.51

```
data_TlPWCl2
_chemical_formula_sum 'Tl1 P1 W1 Cl2'
_cell_length_a 5.167
_cell_length_b 5.167
_cell_length_c 5.378
_cell_angle_alpha 90.00
_cell_angle_beta 90.00
_cell_angle_gamma 90.00
_symmetry_space_group_name_H-M 'P 4/m m m'
_symmetry_Int_Tables_number 123
_symmetry_space_group_name_Hall '-P 4 2'
loop_
_atom_site_label
_atom_site_fract_x
_atom_site_fract_y
_atom_site_fract_z
Tl1 0.000 0.000 0.000
P1 0.000 0.000 0.500
W1 0.500 0.500 0.500
Cl1 0.000 0.500 0.000
```

---

3.
The following is a PBE calculation of an optimized crystal structure of Cr2CuIr, from Alexandria via LeMat-Bulk.

ΔH_f (0 K) (meV/atom): 71
Energy (eV/atom): -7.98

```
data_Cr2CuIr
_chemical_formula_sum 'Cr2 Cu1 Ir1'
_cell_length_a 2.614
_cell_length_b 3.793
_cell_length_c 5.058
_cell_angle_alpha 90.00
_cell_angle_beta 90.00
_cell_angle_gamma 90.00
_symmetry_space_group_name_H-M 'P m m m'
_symmetry_Int_Tables_number 47
loop_
_symmetry_equiv_pos_as_xyz
'x,y,z'
'-x,-y,-z'
'-x,-y,z'
'x,y,-z'
'x,-y,-z'
'-x,y,z'
'-x,y,-z'
'x,-y,z'
loop_
_atom_site_label
_atom_site_fract_x
_atom_site_fract_y
_atom_site_fract_z
Cr1 0.000 0.000 0.247
Cu1 0.500 0.500 0.000
Ir1 0.500 0.500 0.500
```

---

4.
The following is a PBE calculation of an optimized crystal structure of Cs2Ga2Sb2Se, from Alexandria via LeMat-Bulk.

E_form (uncorrected) (eV/f.u.): -3.70
Energy (eV/atom): -3.31

```
data_Cs2Ga2Sb2Se
_chemical_formula_sum 'Cs4 Ga4 Sb4 Se2'
_cell_length_a 14.754
_cell_length_b 4.481
_cell_length_c 9.331
_cell_angle_alpha 90.00
_cell_angle_beta 121.52
_cell_angle_gamma 90.00
_symmetry_space_group_name_H-M 'C 1 2/m 1'
_symmetry_Int_Tables_number 12
loop_
_symmetry_equiv_pos_as_xyz
'x,y,z'
'-x,-y,-z'
'-x,y,-z'
'x,-y,z'
'x+1/2,y+1/2,z'
'-x+1/2,-y+1/2,-z'
'-x+1/2,y+1/2,-z'
'x+1/2,-y+1/2,z'
loop_
_atom_site_label
_atom_site_fract_x
_atom_site_fract_y
_atom_site_fract_z
Cs1 0.062 0.000 0.328
Ga1 0.188 0.500 0.058
Sb1 0.199 0.500 0.770
Se1 0.000 0.500 0.000
```

---

5.
The following is a PBE calculation of an optimized crystal structure of PmSnPd3, from Alexandria via LeMat-Bulk.

ΔH_f (0 K) (meV/atom): -650
Energy (eV/atom): -5.52

```
data_PmSnPd3
_chemical_formula_sum 'Pm4 Sn4 Pd12'
_cell_length_a 5.814
_cell_length_b 13.254
_cell_length_c 5.243
_cell_angle_alpha 90.00
_cell_angle_beta 90.00
_cell_angle_gamma 90.00
_symmetry_space_group_name_H-M 'C m c m'
_symmetry_Int_Tables_number 63
_symmetry_space_group_name_Hall '-C 2c 2'
loop_
_atom_site_label
_atom_site_fract_x
_atom_site_fract_y
_atom_site_fract_z
Pm1 0.000 0.088 0.250
Sn1 0.000 0.314 0.750
Pd1 0.000 0.500 0.000
Pd2 0.248 0.351 0.250
```

---

6.
The following is a PBE calculation of an optimized crystal structure of CuSbW2, from Alexandria via LeMat-Bulk.

E_form (uncorrected) (eV/f.u.): 2.15
Energy (eV/atom): -7.99

```
data_CuSbW2
_chemical_formula_sum 'Cu2 Sb2 W4'
_cell_length_a 3.510
_cell_length_b 4.460
_cell_length_c 8.410
_cell_angle_alpha 90.00
_cell_angle_beta 90.00
_cell_angle_gamma 90.00
_symmetry_space_group_name_H-M 'I m m 2'
_symmetry_Int_Tables_number 44
loop_
_symmetry_equiv_pos_as_xyz
'x,y,z'
'-x,-y,z'
'-x,y,z'
'x,-y,z'
'x+1/2,y+1/2,z+1/2'
'-x+1/2,-y+1/2,z+1/2'
'-x+1/2,y+1/2,z+1/2'
'x+1/2,-y+1/2,z+1/2'
loop_
_atom_site_label
_atom_site_fract_x
_atom_site_fract_y
_atom_site_fract_z
Cu1 0.000 0.000 0.000
Sb1 0.000 0.500 0.742
W1 0.000 0.000 0.505
W2 0.000 0.500 0.246
```